Record 1
The following is a DFT calculation (PBE-GGA) of an optimized crystal structure of Ga3Pt12W.

The value obtained for the total moment is 0.000 μB per formula unit. For the density of states at the Fermi level, the calculation gives 10.64 states/eV/f.u. The energy relative to the elements is -6.67 eV per formula unit.

a b c (Å): 3.9555 3.9555 15.8270
angles (deg): 90.00 90.00 90.00
Closest atoms and distances in Å follow each position.
Element x y z (fractional)
Ga 0.0000 0.0000 0.2594  12 Pt 2.70-2.94
Ga 0.0000 0.0000 0.5000  12 Pt 2.79-2.80
Ga 0.0000 0.0000 0.7406  12 Pt 2.70-2.94
Pt 0.5000 0.5000 0.0000  8 Pt 2.76, 4 W 2.80
Pt 0.5000 0.5000 0.2479  4 Ga 2.80, 8 Pt 2.81-2.83
Pt 0.5000 0.5000 0.5000  8 Pt 2.79, 4 Ga 2.80
Pt 0.5000 0.5000 0.7521  4 Ga 2.80, 8 Pt 2.81-2.83
Pt 0.5000 0.0000 0.1216  2 W 2.76, 8 Pt 2.76-2.81, 2 Ga 2.94
Pt 0.5000 0.0000 0.3756  4 Ga 2.70-2.79, 8 Pt 2.79-2.83
Pt 0.5000 0.0000 0.6244  4 Ga 2.70-2.79, 8 Pt 2.79-2.83
Pt 0.5000 0.0000 0.8784  8 Pt 2.76-2.81, 2 W 2.76, 2 Ga 2.94
Pt 0.0000 0.5000 0.1216  2 W 2.76, 8 Pt 2.76-2.81, 2 Ga 2.94
Pt 0.0000 0.5000 0.3756  4 Ga 2.70-2.79, 8 Pt 2.79-2.83
Pt 0.0000 0.5000 0.6244  4 Ga 2.70-2.79, 8 Pt 2.79-2.83
Pt 0.0000 0.5000 0.8784  2 W 2.76, 8 Pt 2.76-2.81, 2 Ga 2.94
W 0.0000 0.0000 0.0000  12 Pt 2.76-2.80



Record 2
The following is a DFT calculation (PBE-GGA) of an optimized crystal structure of Dy2Ga3Pt5.

The value obtained for the total moment is 0.000 μB per formula unit. For the density of states at the Fermi level, the calculation gives 4.04 states/eV/f.u. The energy relative to the elements is -9.64 eV per formula unit.

a b c (Å): 4.1638 6.8261 12.6789
angles (deg): 90.00 99.45 90.00
Closest atoms and distances in Å follow each position.
Element x y z (fractional)
Dy 0.4739 0.7242 0.9477  5 Ga 2.94-3.00, 8 Pt 3.05-3.24
Dy 0.1762 0.7704 0.3524  8 Pt 2.93-3.19, 3 Ga 3.24-3.25
Dy 0.8238 0.2704 0.6476  8 Pt 2.93-3.19, 3 Ga 3.24-3.25
Dy 0.5261 0.2242 0.0523  5 Ga 2.94-3.00, 8 Pt 3.05-3.24
Ga 0.7844 0.8162 0.5687  6 Pt 2.51-2.69
Ga 0.6251 0.4576 0.2501  6 Pt 2.56-2.85
Ga 0.0422 0.9128 0.0844  5 Pt 2.53-2.62
Ga 0.2156 0.3162 0.4313  6 Pt 2.51-2.69
Ga 0.9578 0.4128 0.9156  5 Pt 2.53-2.62
Ga 0.3749 0.9576 0.7499  6 Pt 2.56-2.85
Pt 0.4022 0.3627 0.8045  2 Ga 2.53
Pt 0.3045 0.5790 0.6090  3 Ga 2.69-2.86, 5 Pt 2.86-2.95, 2 Dy 3.00
Pt 0.6955 0.0790 0.3910  3 Ga 2.69-2.86, 5 Pt 2.86-2.95, 2 Dy 3.00
Pt 0.1166 0.1829 0.2333  4 Ga 2.62-2.81, 1 Pt 2.88
Pt 0.2740 0.0176 0.5480  4 Ga 2.51-2.56
Pt 0.9444 0.0414 0.8888  4 Ga 2.56-2.77
Pt 0.7260 0.5176 0.4520  4 Ga 2.51-2.56
Pt 0.8834 0.6829 0.7667  4 Ga 2.62-2.81, 1 Pt 2.88
Pt 0.0556 0.5414 0.1112  4 Ga 2.56-2.77
Pt 0.5978 0.8627 0.1955  2 Ga 2.53



Record 3
The following is a DFT calculation (PBE-GGA) of an optimized crystal structure of KFeTc.

The value obtained for the total moment is 0.928 μB per formula unit. For the density of states at the Fermi level, the calculation gives 5.63 states/eV/f.u. The energy relative to the elements is 5.79 eV per formula unit.

a b c (Å): 4.4299 4.4299 4.4299
angles (deg): 60.00 60.00 60.00
Closest atoms and distances in Å follow each position.
Element x y z (fractional)
Fe 0.7500 0.7500 0.7500  4 Tc 2.71, 4 K 2.71
K 0.0000 0.0000 0.0000  4 Fe 2.71
Tc 0.5000 0.5000 0.5000  4 Fe 2.71



Record 4
The following is a DFT calculation (PBE-GGA) of an optimized crystal structure of AcPrGePd.

The value obtained for the total moment is 0.000 μB per formula unit. For the density of states at the Fermi level, the calculation gives 3.02 states/eV/f.u. The energy relative to the elements is -1.92 eV per formula unit.

a b c (Å): 4.8817 4.8817 10.6213
angles (deg): 90.00 90.00 90.00
Closest atoms and distances in Å follow each position.
Element x y z (fractional)
Ac 0.0000 0.5000 0.8384  1 Ge 3.04
Ac 0.5000 0.0000 0.1616  1 Ge 3.04
Pr 0.0000 0.0000 0.5000  4 Pd 2.92
Pr 0.5000 0.5000 0.5000  4 Pd 2.92
Ge 0.5000 0.0000 0.8750  1 Pd 2.38
Ge 0.0000 0.5000 0.1250  1 Pd 2.38
Pd 0.0000 0.5000 0.3489  1 Ge 2.38
Pd 0.5000 0.0000 0.6511  1 Ge 2.38



Record 5
The following is a DFT calculation (PBE-GGA) of an optimized crystal structure of LiZn2SnTe.

The value obtained for the total moment is 0.000 μB per formula unit. The uncorrected formation energy is 0.43 eV/atom. For the density of states at the Fermi level, the calculation gives 2.32 states/eV/f.u.

a b c (Å): 5.2671 6.2255 5.2671
angles (deg): 90.00 90.00 90.00
Closest atoms and distances in Å follow each position.
Element x y z (fractional)
Zn 0.0000 0.0000 0.5000  2 Te 2.63
Zn 0.5000 0.0000 0.0000  2 Te 2.63
Te 0.0000 0.0000 0.0000  4 Zn 2.63
Sn 0.0000 0.5000 0.0000  2 Te 3.11
Li 0.5000 0.5000 0.5000  4 Sn 3.72, 8 Zn 4.08



Record 6
The following is a DFT calculation (PBE-GGA) of an optimized crystal structure of YSiNi.

The value obtained for the total moment is 0.000 μB per formula unit. The uncorrected formation energy is -0.72 eV/atom. For the density of states at the Fermi level, the calculation gives 1.89 states/eV/f.u.

a b c (Å): 3.9565 5.6271 5.6271
angles (deg): 77.96 69.42 69.42
Closest atoms and distances in Å follow each position.
Element x y z (fractional)
Si 0.0000 0.8312 0.1688  2 Ni 2.28, 1 Si 2.39
Si 0.0000 0.1688 0.8312  2 Ni 2.28, 1 Si 2.39
Ni 0.5000 0.6721 0.3279  2 Si 2.28, 1 Ni 2.44
Ni 0.5000 0.3279 0.6721  2 Si 2.28, 1 Ni 2.44
Y 0.7582 0.7418 0.7418  6 Ni 2.99-3.07, 6 Si 3.01-3.07
Y 0.2418 0.2582 0.2582  6 Ni 2.99-3.07, 6 Si 3.01-3.07